i.
Density functional theory data (PBE-GGA) for a relaxed structure of TbSmSc3.

## Properties
The density is 5.31 g/cm³. Its density of states at the Fermi level is 1.795 states/eV per atom.

abc: 9.5996 9.5996 6.2727
angles: 100.38 100.38 81.85
Closest atoms and distances in Å follow each position.
Atoms (fractional coordinates):
Tb1 0.0796 0.9204 0.7500  5 Tb 3.33-3.72, 8 Sc 3.34-3.70
Tb2 0.1853 0.8147 0.2500  6 Sc 3.14-3.41, 3 Tb 3.33-3.41, 2 Sm 3.46
Tb3 0.8147 0.1853 0.7500  6 Sc 3.14-3.41, 3 Tb 3.33-3.41, 2 Sm 3.46
Tb4 0.9204 0.0796 0.2500  5 Tb 3.33-3.72, 8 Sc 3.34-3.70
Sm1 0.3196 0.4727 0.0462  8 Sc 3.32-3.63, 3 Sm 3.46-3.68, 1 Tb 3.46
Sm2 0.4727 0.3196 0.5462  8 Sc 3.32-3.63, 3 Sm 3.46-3.68, 1 Tb 3.46
Sm3 0.5273 0.6804 0.4538  8 Sc 3.32-3.63, 3 Sm 3.46-3.68, 1 Tb 3.46
Sm4 0.6804 0.5273 0.9538  8 Sc 3.32-3.63, 3 Sm 3.46-3.68, 1 Tb 3.46
Sc1 0.0188 0.3884 0.1552  5 Sc 3.01-3.37, 1 Sm 3.32
Sc2 0.1209 0.2790 0.6461  6 Sc 3.31-3.45, 2 Sm 3.32-3.63, 3 Tb 3.34-3.70
Sc3 0.2040 0.5830 0.5526  4 Sc 3.01-3.33, 1 Tb 3.14, 1 Sm 3.35
Sc4 0.2790 0.1209 0.1461  6 Sc 3.31-3.45, 2 Sm 3.32-3.63, 3 Tb 3.34-3.70
Sc5 0.3884 0.0188 0.6552  5 Sc 3.01-3.37, 1 Sm 3.32
Sc6 0.4170 0.7960 0.9474  4 Sc 3.01-3.33, 1 Tb 3.14, 1 Sm 3.35
Sc7 0.5830 0.2040 0.0526  4 Sc 3.01-3.33, 1 Tb 3.14, 1 Sm 3.35
Sc8 0.6116 0.9812 0.3448  5 Sc 3.01-3.37, 1 Sm 3.32
Sc9 0.7210 0.8791 0.8539  6 Sc 3.31-3.45, 2 Sm 3.32-3.63, 3 Tb 3.34-3.70
Sc10 0.7960 0.4170 0.4474  4 Sc 3.01-3.33, 1 Tb 3.14, 1 Sm 3.35
Sc11 0.8791 0.7210 0.3539  6 Sc 3.31-3.45, 2 Sm 3.32-3.63, 3 Tb 3.34-3.70
Sc12 0.9812 0.6116 0.8448  5 Sc 3.01-3.37, 1 Sm 3.32



ii.
Density functional theory data (PBE-GGA) for a relaxed structure of TbSmSc3.

## Properties
The density is 5.30 g/cm³. Its density of states at the Fermi level is 1.721 states/eV per atom.

abc: 5.9582 5.3913 9.1299
angles: 90.00 108.49 90.00
Closest atoms and distances in Å follow each position.
Atoms (fractional coordinates):
Tb1 0.2390 0.2500 0.3033  10 Sc 3.34-3.55, 2 Sm 3.44-3.45
Tb2 0.7610 0.7500 0.6967  10 Sc 3.34-3.55, 2 Sm 3.44-3.45
Sm1 0.3593 0.7500 0.8972  8 Sc 3.35-3.57, 2 Sm 3.41, 2 Tb 3.44-3.45
Sm2 0.6407 0.2500 0.1028  8 Sc 3.35-3.57, 2 Sm 3.41, 2 Tb 3.44-3.45
Sc1 0.0241 0.2500 0.8940  3 Tb 3.34-3.55, 4 Sm 3.35-3.56, 5 Sc 3.38-3.49
Sc2 0.1599 0.7500 0.4972  7 Sc 3.31-3.45, 4 Tb 3.34-3.46, 1 Sm 3.46
Sc3 0.4204 0.2500 0.6905  6 Sc 3.32-3.49, 3 Tb 3.35-3.36, 3 Sm 3.38-3.57
Sc4 0.5796 0.7500 0.3095  6 Sc 3.32-3.49, 3 Tb 3.35-3.36, 3 Sm 3.38-3.57
Sc5 0.8401 0.2500 0.5028  7 Sc 3.31-3.45, 4 Tb 3.34-3.46, 1 Sm 3.46
Sc6 0.9759 0.7500 0.1060  3 Tb 3.34-3.55, 4 Sm 3.35-3.56, 5 Sc 3.38-3.49



Stability summary - winner: ii; margin: 25 meV per atom.



i.
Density functional theory data (PBE-GGA) for a relaxed structure of Tb5Sm2Sc.

## Properties
The density is 7.45 g/cm³. Its density of states at the Fermi level is 1.572 states/eV per atom.

abc: 9.3887 9.3887 6.6364
angles: 100.47 100.47 62.85
Closest atoms and distances in Å follow each position.
Atoms (fractional coordinates):
Tb1 0.0607 0.9393 0.7500  4 Sm 3.30-3.55, 2 Tb 3.52
Tb2 0.1258 0.2862 0.0505  2 Sc 3.34-3.36, 1 Sm 3.42, 7 Tb 3.65-3.74
Tb3 0.2862 0.1258 0.5505  2 Sc 3.34-3.36, 1 Sm 3.42, 7 Tb 3.65-3.74
Tb4 0.3027 0.4977 0.8478  1 Sc 3.31, 4 Sm 3.34-3.64, 2 Tb 3.65-3.70
Tb5 0.4977 0.3027 0.3478  1 Sc 3.31, 4 Sm 3.34-3.64, 2 Tb 3.65-3.70
Tb6 0.5023 0.6973 0.6522  1 Sc 3.31, 4 Sm 3.34-3.64, 2 Tb 3.65-3.70
Tb7 0.6973 0.5023 0.1522  1 Sc 3.31, 4 Sm 3.34-3.64, 2 Tb 3.65-3.70
Tb8 0.7138 0.8742 0.4495  2 Sc 3.34-3.36, 1 Sm 3.42, 7 Tb 3.65-3.74
Tb9 0.8742 0.7138 0.9495  2 Sc 3.34-3.36, 1 Sm 3.42, 7 Tb 3.65-3.74
Tb10 0.9393 0.0607 0.2500  4 Sm 3.30-3.55, 2 Tb 3.52
Sm1 0.1685 0.6549 0.3574  1 Sc 2.94
Sm2 0.3451 0.8315 0.1426  1 Sc 2.94
Sm3 0.6549 0.1685 0.8574  1 Sc 2.94
Sm4 0.8315 0.3451 0.6426  1 Sc 2.94
Sc1 0.0000 0.5000 0.5000  2 Sm 2.94
Sc2 0.5000 0.0000 0.0000  2 Sm 2.94



ii.
Density functional theory data (PBE-GGA) for a relaxed structure of Tb5Sm2Sc.

## Properties
The density is 7.54 g/cm³. Its density of states at the Fermi level is 1.375 states/eV per atom.

abc: 7.0854 14.1866 4.9935
angles: 90.00 90.00 90.00
Closest atoms and distances in Å follow each position.
Atoms (fractional coordinates):
Tb1 0.0000 0.0000 0.0000  6 Tb 3.53-3.58, 4 Sm 3.54, 2 Sc 3.54
Tb2 0.0017 0.2522 0.0000  1 Sc 3.52, 7 Tb 3.53-3.58, 4 Sm 3.53-3.57
Tb3 0.2501 0.3764 0.5000  4 Sm 3.50-3.59, 6 Tb 3.53-3.57, 2 Sc 3.53
Tb4 0.2499 0.8764 0.5000  4 Sm 3.50-3.59, 6 Tb 3.53-3.57, 2 Sc 3.53
Tb5 0.4983 0.7522 0.0000  1 Sc 3.52, 7 Tb 3.53-3.58, 4 Sm 3.53-3.57
Tb6 0.5000 0.5000 0.0000  6 Tb 3.53-3.58, 4 Sm 3.54, 2 Sc 3.54
Tb7 0.5017 0.2478 0.0000  1 Sc 3.52, 7 Tb 3.53-3.58, 4 Sm 3.53-3.57
Tb8 0.7501 0.1236 0.5000  4 Sm 3.50-3.59, 6 Tb 3.53-3.57, 2 Sc 3.53
Tb9 0.7499 0.6236 0.5000  4 Sm 3.50-3.59, 6 Tb 3.53-3.57, 2 Sc 3.53
Tb10 0.9983 0.7478 0.0000  1 Sc 3.52, 7 Tb 3.53-3.58, 4 Sm 3.53-3.57
Sm1 0.2471 0.6234 0.5000  10 Tb 3.50-3.59, 2 Sc 3.52
Sm2 0.2529 0.1234 0.5000  10 Tb 3.50-3.59, 2 Sc 3.52
Sm3 0.7471 0.8766 0.5000  10 Tb 3.50-3.59, 2 Sc 3.52
Sm4 0.7529 0.3766 0.5000  10 Tb 3.50-3.59, 2 Sc 3.52
Sc1 0.0000 0.5000 0.0000  8 Tb 3.52-3.54, 4 Sm 3.52
Sc2 0.5000 0.0000 0.0000  8 Tb 3.52-3.54, 4 Sm 3.52



Stability summary - winner: ii; margin: 97 meV per atom.



i.
Density functional theory data (PBE-GGA) for a relaxed structure of Tb3SmSc2.

## Properties
The density is 6.26 g/cm³. Its density of states at the Fermi level is 1.779 states/eV per atom.

abc: 8.6538 8.6538 5.4624
angles: 90.00 90.00 68.40
Closest atoms and distances in Å follow each position.
Atoms (fractional coordinates):
Tb1 0.0950 0.9050 0.7500  3 Sm 3.22-3.56, 4 Tb 3.30-3.45, 2 Sc 3.40
Tb2 0.1094 0.3705 0.2500  2 Sc 3.09-3.31, 1 Tb 3.45
Tb3 0.3705 0.1094 0.7500  2 Sc 3.09-3.31, 1 Tb 3.45
Tb4 0.6295 0.8906 0.2500  2 Sc 3.09-3.31, 1 Tb 3.45
Tb5 0.8906 0.6295 0.7500  2 Sc 3.09-3.31, 1 Tb 3.45
Tb6 0.9050 0.0950 0.2500  3 Sm 3.22-3.56, 4 Tb 3.30-3.45, 2 Sc 3.40
Sm1 0.2707 0.7293 0.2500  3 Tb 3.22-3.56, 6 Sc 3.40-3.47
Sm2 0.7293 0.2707 0.7500  3 Tb 3.22-3.56, 6 Sc 3.40-3.47
Sc1 0.3021 0.4858 0.7500  3 Sc 3.04-3.26, 2 Tb 3.09-3.31, 2 Sm 3.40
Sc2 0.4858 0.3021 0.2500  3 Sc 3.04-3.26, 2 Tb 3.09-3.31, 2 Sm 3.40
Sc3 0.5142 0.6979 0.7500  3 Sc 3.04-3.26, 2 Tb 3.09-3.31, 2 Sm 3.40
Sc4 0.6979 0.5142 0.2500  3 Sc 3.04-3.26, 2 Tb 3.09-3.31, 2 Sm 3.40



ii.
Density functional theory data (PBE-GGA) for a relaxed structure of Tb3SmSc2.

## Properties
The density is 6.55 g/cm³. Its density of states at the Fermi level is 1.743 states/eV per atom.

abc: 8.7809 8.7809 13.9267
angles: 116.82 116.82 22.42
Closest atoms and distances in Å follow each position.
Atoms (fractional coordinates):
Tb1 0.0381 0.0381 0.2127  3 Sc 3.41-3.61, 8 Tb 3.41-3.69, 2 Sm 3.57
Tb2 0.2557 0.2557 0.6983  4 Sc 3.24-3.36, 5 Tb 3.41-3.61, 2 Sm 3.53
Tb3 0.3947 0.3947 0.9719  3 Sc 3.26-3.34, 6 Tb 3.34-3.56
Tb4 0.6053 0.6053 0.0281  3 Sc 3.26-3.34, 6 Tb 3.34-3.56
Tb5 0.7443 0.7443 0.3017  4 Sc 3.24-3.36, 5 Tb 3.41-3.61, 2 Sm 3.53
Tb6 0.9619 0.9619 0.7873  3 Sc 3.41-3.61, 8 Tb 3.41-3.69, 2 Sm 3.57
Sm1 0.4390 0.4390 0.3536  4 Sc 3.38-3.61, 3 Sm 3.41-3.63, 4 Tb 3.53-3.57
Sm2 0.5610 0.5610 0.6464  4 Sc 3.38-3.61, 3 Sm 3.41-3.63, 4 Tb 3.53-3.57
Sc1 0.1834 0.1834 0.8846  5 Tb 3.26-3.41, 4 Sc 3.41-3.42, 2 Sm 3.45
Sc2 0.3403 0.3403 0.5333  5 Tb 3.24-3.61, 4 Sc 3.29-3.41, 2 Sm 3.38-3.61
Sc3 0.6597 0.6597 0.4667  5 Tb 3.24-3.61, 4 Sc 3.29-3.41, 2 Sm 3.38-3.61
Sc4 0.8166 0.8166 0.1154  5 Tb 3.26-3.41, 4 Sc 3.41-3.42, 2 Sm 3.45



Stability summary - winner: ii; margin: 155 meV per atom.



i.
Density functional theory data (PBE-GGA) for a relaxed structure of TbSmSc2.

## Properties
The density is 5.83 g/cm³. Its density of states at the Fermi level is 1.532 states/eV per atom.

abc: 3.5147 3.5147 9.2013
angles: 90.00 90.00 90.00
Closest atoms and distances in Å follow each position.
Atoms (fractional coordinates):
Tb1 0.0000 0.0000 0.0000  8 Sc 3.37, 4 Tb 3.51
Sm1 0.0000 0.0000 0.5000  8 Sc 3.40, 4 Sm 3.51
Sc1 0.5000 0.5000 0.2480  4 Tb 3.37, 4 Sm 3.40, 4 Sc 3.51
Sc2 0.5000 0.5000 0.7520  4 Tb 3.37, 4 Sm 3.40, 4 Sc 3.51



ii.
Density functional theory data (PBE-GGA) for a relaxed structure of TbSmSc2.

## Properties
The density is 5.76 g/cm³. Its density of states at the Fermi level is 1.897 states/eV per atom.

abc: 12.0711 12.0711 12.0711
angles: 15.90 15.90 15.90
Closest atoms and distances in Å follow each position.
Atoms (fractional coordinates):
Tb1 0.0000 0.0000 0.0000  6 Tb 3.34, 6 Sc 3.34
Sm1 0.5000 0.5000 0.5000  2 Sc 3.23, 6 Sm 3.34
Sc1 0.4097 0.4097 0.4097  1 Sm 3.23, 6 Sc 3.34, 3 Tb 3.34
Sc2 0.5903 0.5903 0.5903  1 Sm 3.23, 6 Sc 3.34, 3 Tb 3.34



Stability summary - winner: i; margin: 175 meV per atom.



i.
Density functional theory data (PBE-GGA) for a relaxed structure of TbSmSc2.

## Properties
The density is 5.86 g/cm³. Its density of states at the Fermi level is 1.477 states/eV per atom.

abc: 3.4481 3.4481 10.9842
angles: 90.00 90.00 120.00
Closest atoms and distances in Å follow each position.
Atoms (fractional coordinates):
Tb1 0.0000 0.0000 0.0000  6 Sc 3.38, 6 Tb 3.45
Sm1 0.0000 0.0000 0.5000  6 Sc 3.40, 6 Sm 3.45
Sc1 0.3333 0.6667 0.7514  3 Tb 3.38, 3 Sm 3.40, 6 Sc 3.45
Sc2 0.6667 0.3333 0.2486  3 Tb 3.38, 3 Sm 3.40, 6 Sc 3.45



ii.
Density functional theory data (PBE-GGA) for a relaxed structure of TbSmSc2.

## Properties
The density is 5.87 g/cm³. Its density of states at the Fermi level is 1.254 states/eV per atom.

abc: 11.1661 11.1661 11.1661
angles: 17.75 17.75 17.75
Closest atoms and distances in Å follow each position.
Atoms (fractional coordinates):
Tb1 0.0000 0.0000 0.0000  6 Sc 3.38, 6 Tb 3.45
Sm1 0.5000 0.5000 0.5000  6 Sc 3.40, 6 Sm 3.45
Sc1 0.2505 0.2505 0.2505  3 Tb 3.38, 3 Sm 3.40, 6 Sc 3.45
Sc2 0.7495 0.7495 0.7495  3 Tb 3.38, 3 Sm 3.40, 6 Sc 3.45



iii.
Density functional theory data (PBE-GGA) for a relaxed structure of TbSmSc2.

## Properties
The density is 5.82 g/cm³. Its density of states at the Fermi level is 1.475 states/eV per atom.

abc: 5.4416 5.4416 5.4416
angles: 60.00 60.00 60.00
Closest atoms and distances in Å follow each position.
Atoms (fractional coordinates):
Tb1 0.0000 0.0000 0.0000  8 Sc 3.33
Sm1 0.5000 0.5000 0.5000  8 Sc 3.33
Sc1 0.2500 0.2500 0.2500  4 Tb 3.33, 4 Sm 3.33
Sc2 0.7500 0.7500 0.7500  4 Tb 3.33, 4 Sm 3.33



Stability summary - winner: i; margin: 9 meV per atom.



i.
Density functional theory data (PBE-GGA) for a relaxed structure of TbSm2Sc4.

## Properties
The density is 5.21 g/cm³. Its density of states at the Fermi level is 2.253 states/eV per atom.

abc: 6.5027 6.5027 6.5027
angles: 103.59 103.59 122.00
Closest atoms and distances in Å follow each position.
Atoms (fractional coordinates):
Tb1 0.0000 0.0000 0.0000  12 Sc 3.49-3.84
Sm1 0.2500 0.7500 0.5000  2 Sm 3.15, 8 Sc 3.32
Sm2 0.7500 0.2500 0.5000  2 Sm 3.15, 8 Sc 3.32
Sc1 0.3071 0.3071 0.6143  4 Sc 3.10-3.41, 4 Sm 3.32
Sc2 0.3071 0.6929 0.0000  4 Sc 3.10-3.41, 4 Sm 3.32
Sc3 0.6929 0.3071 0.0000  4 Sc 3.10-3.41, 4 Sm 3.32
Sc4 0.6929 0.6929 0.3857  4 Sc 3.10-3.41, 4 Sm 3.32



ii.
Density functional theory data (PBE-GGA) for a relaxed structure of TbSm2Sc4.

## Properties
The density is 5.23 g/cm³. Its density of states at the Fermi level is 1.604 states/eV per atom.

abc: 10.7048 10.7048 5.2501
angles: 90.00 90.00 160.26
Closest atoms and distances in Å follow each position.
Atoms (fractional coordinates):
Tb1 0.0000 0.0000 0.0000  8 Sm 3.56, 2 Tb 3.67
Sm1 0.4258 0.5742 0.5000  1 Sm 3.13, 4 Sc 3.20-3.49
Sm2 0.5742 0.4258 0.5000  1 Sm 3.13, 4 Sc 3.20-3.49
Sc1 0.1982 0.8018 0.5000  2 Sc 2.85
Sc2 0.3168 0.6832 0.0000  6 Sc 3.22-3.36, 2 Sm 3.49
Sc3 0.6832 0.3168 0.0000  6 Sc 3.22-3.36, 2 Sm 3.49
Sc4 0.8018 0.1982 0.5000  2 Sc 2.85



Stability summary - winner: ii; margin: 85 meV per atom.